1.
Compound: Pr5As2BrO10
Source: OQMD
Functional: PBE-GGA
Structure: relaxed

Structure (POSCAR):
```
Pr5As2BrO10
1.0
6.289 -2.865 0.000
6.289 2.865 0.000
-4.026 0.000 8.116
Pr As Br O
5 2 1 10
Cartesian
0.000 0.000 0.000
-0.318 0.000 7.054
5.113 0.000 2.373
3.440 0.000 5.743
8.871 0.000 1.062
1.115 0.000 3.210
7.438 0.000 4.906
-2.013 0.000 4.058
1.491 1.518 6.092
4.436 1.416 0.673
2.905 0.000 3.229
4.117 1.416 7.443
7.061 1.518 2.024
1.491 -1.518 6.092
4.436 -1.416 0.673
5.647 0.000 4.887
4.117 -1.416 7.443
7.061 -1.518 2.024
```

Properties
Spin magnetization: 0.010 μB/f.u.
E_tot: -0.2736 Ha/atom



2.
Compound: Pr4AsBrO8
Source: OQMD
Functional: PBE-GGA
Structure: relaxed

Structure (POSCAR):
```
Pr4AsBrO8
1.0
8.358 0.000 0.000
0.000 8.358 0.000
0.000 0.000 13.275
Pr As Br O
16 4 4 32
Cartesian
0.111 2.047 2.221
0.111 2.047 11.053
2.051 4.325 4.411
2.051 4.325 8.864
2.047 8.248 4.416
2.047 8.248 8.858
4.033 2.051 2.227
4.033 2.051 11.048
4.325 6.308 2.227
4.325 6.308 11.048
6.311 0.111 4.416
6.311 0.111 8.858
6.308 4.033 4.411
6.308 4.033 8.864
8.248 6.311 2.221
8.248 6.311 11.053
0.365 2.103 6.637
2.103 7.994 0.000
6.256 0.365 0.000
7.994 6.256 6.637
2.115 3.718 0.000
3.718 6.243 6.637
4.640 2.115 6.637
6.243 4.640 0.000
0.000 0.000 3.319
0.000 0.000 9.956
0.000 4.179 3.172
0.000 4.179 10.102
0.596 6.256 5.230
0.596 6.256 8.045
0.706 6.972 0.000
1.386 0.706 6.637
1.385 3.501 6.637
2.083 2.142 3.597
2.083 2.142 9.677
2.103 0.596 1.407
2.103 0.596 11.867
2.142 6.276 3.040
2.142 6.276 10.235
3.501 6.973 0.000
4.179 0.000 3.465
4.179 0.000 9.809
4.179 4.179 3.319
4.179 4.179 9.956
4.857 1.385 0.000
6.216 2.083 3.040
6.216 2.083 10.235
6.256 7.762 1.407
6.256 7.762 11.867
6.276 6.216 3.597
6.276 6.216 9.677
6.973 4.857 6.637
6.972 7.652 6.637
7.652 1.386 0.000
7.762 2.103 5.230
7.762 2.103 8.045
```

Properties
Spin magnetization: 0.000 μB/f.u.
E_tot: -0.2747 Ha/atom



> Which formula does entry 2 have?

Pr4AsBrO8



> The lowest E_tot belongs to which entry?

Pr4AsBrO8